LiCuCl3 | PBE-GGA | optimized geometry

Results
Distance to the lowest polymorph of the same formula = 172 meV/atom
Space group = Pm-3m, No. 221
Formation energy from raw total energies = -0.803 eV per atom

Cell lengths 4.762, 4.762, 4.762 Å; angles 90.00, 90.00, 90.00 degrees
Positions (direct):
Li1 0.000 0.000 0.000
Cu1 0.500 0.500 0.500
Cl1 0.000 0.500 0.500
Cl2 0.500 0.000 0.500
Cl3 0.500 0.500 0.000

***

CuBr2Cl | PBE-GGA | optimized geometry

Results
Distance to the lowest polymorph of the same formula = 342 meV/atom
Space group = P4mm, No. 99
Formation energy from raw total energies = 0.104 eV per atom

Cell lengths 3.161, 3.161, 11.239 Å; angles 90.00, 90.00, 90.00 degrees
Positions (direct):
Cu1 0.000 0.000 0.000
Br1 0.000 0.000 0.619
Br2 0.500 0.500 0.259
Cl1 0.500 0.500 0.941

***

Li2CuH4Pd | PBE-GGA | optimized geometry

Results
Space group = I-42m, No. 121
DFT total energy = -3.376 eV per atom

Cell lengths 4.597, 4.597, 4.597 Å; angles 108.28, 108.28, 111.89 degrees
Positions (direct):
Li1 0.000 0.500 0.500
Li2 0.500 0.000 0.500
Cu1 0.000 0.000 0.000
H1 0.081 0.081 0.681
H2 0.400 0.400 0.319
H3 0.600 0.919 0.000
H4 0.919 0.600 0.000
Pd1 0.500 0.500 0.000

***

Fe2NiHAu | PBE-GGA | optimized geometry

Results
Space group = P4/mmm, No. 123
DFT total energy = -5.819 eV per atom

Cell lengths 3.750, 3.750, 3.886 Å; angles 90.00, 90.00, 90.00 degrees
Positions (direct):
Fe1 0.000 0.500 0.000
Fe2 0.500 0.000 0.000
Ni1 0.000 0.000 0.500
H1 0.000 0.000 0.000
Au1 0.500 0.500 0.500

***

MgMnRu2I | PBE-GGA | optimized geometry

Results
Space group = P4/mmm, No. 123
Formation energy from raw total energies = 0.979 eV per atom

Cell lengths 4.459, 4.459, 4.971 Å; angles 90.00, 90.00, 90.00 degrees
Positions (direct):
Mg1 0.000 0.000 0.000
Mn1 0.000 0.000 0.500
Ru1 0.000 0.500 0.500
Ru2 0.500 0.000 0.500
I1 0.500 0.500 0.000

***

KMgW3 | PBE-GGA | optimized geometry

Results
Distance to the lowest polymorph of the same formula = 514 meV/atom
Energy relative to the elements = 3450 meV/atom
Space group = Pm-3m, No. 221

Cell lengths 4.603, 4.603, 4.603 Å; angles 90.00, 90.00, 90.00 degrees
Positions (direct):
K1 0.000 0.000 0.000
Mg1 0.500 0.500 0.500
W1 0.000 0.000 0.500
W2 0.000 0.500 0.000
W3 0.500 0.000 0.000